Entry 1:
Computed, not measured: a geometry-optimized Ac2PdI2 structure at the PBE level of DFT.

Cell: 4.492 4.492 12.440 Å, 79.60 79.60 60.00°
Positions (direct):
Ac 0.619 0.619 0.142
Ac 0.381 0.381 0.858
I 0.890 0.890 0.331
I 0.110 0.110 0.669
Pd 0.000 0.000 0.000

Entry 2:
Computed, not measured: a geometry-optimized Ac3PdI2 structure at the PBE level of DFT.

Cell: 4.333 6.643 8.917 Å, 111.87 104.06 90.00°
Positions (direct):
I 0.686 0.186 0.373
I 0.314 0.814 0.627
Ac 0.626 0.626 0.252
Ac 0.374 0.374 0.748
Ac 0.000 0.000 0.000
Pd 0.000 0.500 0.000

Entry 3:
Computed, not measured: a geometry-optimized Ac3Pd2I structure at the PBE level of DFT.

Cell: 5.071 7.809 10.895 Å, 90.00 90.00 108.94°
Positions (direct):
I 0.778 0.556 0.750
I 0.222 0.444 0.250
Ac 0.099 0.197 0.750
Ac 0.373 0.747 0.542
Ac 0.627 0.253 0.458
Ac 0.373 0.747 0.958
Ac 0.627 0.253 0.042
Ac 0.901 0.803 0.250
Pd 0.510 0.019 0.750
Pd 0.000 0.000 0.500
Pd 0.490 0.981 0.250
Pd 0.000 0.000 0.000

Entry 4:
Computed, not measured: a geometry-optimized AcPdI2 structure at the PBE level of DFT.

Cell: 4.282 4.282 10.069 Å, 77.72 77.72 60.00°
Positions (direct):
Pd 0.000 0.000 0.000
I 0.088 0.088 0.735
I 0.912 0.912 0.265
Ac 0.500 0.500 0.500

Entry 5:
Computed, not measured: a geometry-optimized Ac4Pd3I structure at the PBE level of DFT.

Cell: 4.362 6.492 9.436 Å, 90.00 90.00 90.00°
Positions (direct):
I 0.000 0.000 0.000
Pd 0.500 0.500 0.755
Pd 0.000 0.000 0.500
Pd 0.500 0.500 0.245
Ac 0.000 0.500 0.000
Ac 0.500 0.000 0.715
Ac 0.000 0.500 0.500
Ac 0.500 0.000 0.285

Entry 6:
Computed, not measured: a geometry-optimized Ac5Pd4I structure at the PBE level of DFT.

Cell: 4.406 7.961 10.181 Å, 76.17 77.50 73.94°
Positions (direct):
Ac 0.620 0.640 0.119
Ac 0.792 0.092 0.325
Ac 0.208 0.908 0.675
Ac 0.000 0.500 0.500
Ac 0.380 0.360 0.881
Pd 0.211 0.372 0.206
Pd 0.593 0.207 0.606
Pd 0.789 0.628 0.794
Pd 0.407 0.793 0.394
I 0.000 0.000 0.000

| no. | size of the total moment (μB per formula unit) | raw formation energy (kcal/mol of atoms) | density of states at the Fermi level (states/eV/atom) |
| --- | --- | --- | --- |
| 1 | 0.00 | -26.4 | 0.27 |
| 2 | 0.00 | -21.0 | 0.93 |
| 3 | 0.00 | -15.4 | 0.82 |
| 4 | 0.00 | -12.8 | 0.75 |
| 5 | 0.00 | -17.8 | 0.75 |
| 6 | 0.00 | -19.0 | 0.54 |